Record 1
Computed, not measured: an optimized crystal structure of Cs2LiMo at the PBE level of DFT.

Cell lengths 6.7079, 6.7079, 6.7079 Å; angles 60.00, 60.00, 60.00 degrees
Last column: nearest neighbours and their distance in Å.
Fractional positions:
Cs 0.2500 0.2500 0.2500  4 Mo 4.11, 4 Li 4.11
Cs 0.7500 0.7500 0.7500  4 Li 4.11, 4 Mo 4.11
Li 0.0000 0.0000 0.0000  8 Cs 4.11
Mo 0.5000 0.5000 0.5000  8 Cs 4.11

Summary:
The magnetic moment comes out at 5.0 μB/cell. Its formation energy is 123.43 kJ per mole of atoms. For the density of states at the Fermi level, the calculation gives 1.25 states/eV/f.u.

***

Record 2
Computed, not measured: an optimized crystal structure of Rb3SrMo at the PBE level of DFT.

Cell lengths 7.2017, 7.2017, 7.2017 Å; angles 90.00, 90.00, 90.00 degrees
Last column: nearest neighbours and their distance in Å.
Fractional positions:
Rb 0.0000 0.0000 0.5000  2 Mo 3.60
Rb 0.0000 0.5000 0.0000  2 Mo 3.60
Rb 0.5000 0.0000 0.0000  2 Mo 3.60
Sr 0.5000 0.5000 0.5000  12 Rb 5.09
Mo 0.0000 0.0000 0.0000  6 Rb 3.60

Summary:
The magnetic moment comes out at 5.7 μB/cell. Its formation energy is 110.32 kJ per mole of atoms. For the density of states at the Fermi level, the calculation gives 5.10 states/eV/f.u.

***

Question: What is the density of states at the Fermi level in the first record?
Answer: 1.25 states/eV/f.u.

***

Question: What is the magnetic moment in the first record?
Answer: 5.0 μB/cell